No. 1
Compound: BSb2TeI
Source: Alexandria
Functional: PBE-GGA
Structure: relaxed

Values from the calculation:
The uncorrected formation energy comes out at 8.17 eV/f.u. For the density of states at the Fermi level, the calculation gives 4.9 states/eV/cell. As for the energy above the most stable polymorph in this dataset: 916 meV/atom.

Lattice parameters (Å, degrees): 5.8300 5.8300 6.0530 90.00 90.00 90.00
Last column: nearest neighbours and their distance in Å.
Space group P4/mmm (No. 123)
Asymmetric unit:
B (0.0000, 0.0000, 0.0000) [1 per cell]  4 I 4.12, 8 Sb 4.20
Sb (0.0000, 0.5000, 0.5000) [2 per cell]  2 Te 2.92
Te (0.5000, 0.5000, 0.5000) [1 per cell]  4 Sb 2.92, 2 I 3.03
I (0.5000, 0.5000, 0.0000) [1 per cell]  2 Te 3.03

No. 2
Compound: Nd2Zn6Ga
Source: Alexandria
Functional: PBE-GGA
Structure: relaxed

Values from the calculation:
For the density of states at the Fermi level, the calculation gives 6.0 states/eV/cell. Its formation energy is -2.939 eV/f.u.

Lattice parameters (Å, degrees): 5.8564 5.8564 5.8244 90.00 90.00 120.00
Last column: nearest neighbours and their distance in Å.
Space group P-3m1 (No. 164)
Asymmetric unit:
Nd (0.3333, 0.6667, 0.1542) [2 per cell]  12 Zn 3.13-3.33, 3 Ga 3.50
Zn (0.1780, 0.3560, 0.6588) [6 per cell]  4 Zn 2.58-2.73, 1 Ga 2.69
Ga (0.0000, 0.0000, 0.0000) [1 per cell]  6 Zn 2.69

Please write out number 2 again, unchanged.
Compound: Nd2Zn6Ga
Source: Alexandria
Functional: PBE-GGA
Structure: relaxed

Values from the calculation:
For the density of states at the Fermi level, the calculation gives 6.0 states/eV/cell. Its formation energy is -2.939 eV/f.u.

Lattice parameters (Å, degrees): 5.8564 5.8564 5.8244 90.00 90.00 120.00
Last column: nearest neighbours and their distance in Å.
Space group P-3m1 (No. 164)
Asymmetric unit:
Nd (0.3333, 0.6667, 0.1542) [2 per cell]  12 Zn 3.13-3.33, 3 Ga 3.50
Zn (0.1780, 0.3560, 0.6588) [6 per cell]  4 Zn 2.58-2.73, 1 Ga 2.69
Ga (0.0000, 0.0000, 0.0000) [1 per cell]  6 Zn 2.69

Which formula does entry 2 have?
Nd2Zn6Ga